Here is crystalline RuWS2Cl at its relaxed geometry from Alexandria via LeMat-Bulk. Energies are from PBE.

a = 4.6572 Å, b = 4.6572 Å, c = 4.5663 Å
α = 90.00°, β = 90.00°, γ = 90.00°
Last column: nearest neighbours and their distance in Å.
Atoms (fractional coordinates):
Cl 0.0000 0.0000 0.5000  2 Ru 2.28
S 0.5000 0.0000 0.0000  2 Ru 2.33
S 0.0000 0.5000 0.0000  2 Ru 2.33
W 0.5000 0.5000 0.5000  8 S 3.26, 4 Cl 3.29
Ru 0.0000 0.0000 0.0000  2 Cl 2.28, 4 S 2.33

Values from the calculation:
The calculation puts the formation energy from raw total energies at 1.12 eV/atom. The value obtained for the spin magnetization is 2.30 μB/cell. As for the total energy: -5.342 eV per atom.